Record 1
## Ti2OsPt (GGA-PBE)

Data for Ti2OsPt after structural relaxation.

Properties
D(E_F) = 3.19 states/eV/f.u.

Lattice parameters (Å, degrees): 5.4951 5.4951 4.4646 90.00 90.00 114.38
With the nearest neighbours (Å) after each atom.
Element x y z (fractional)
Ti  0.1301  0.3538  0.2500  4 Pt 2.62-2.88, 4 Os 2.66-2.85, 1 Ti 2.88
Ti  0.3538  0.1301  0.7500  4 Pt 2.62-2.88, 4 Os 2.66-2.85, 1 Ti 2.88
Ti  0.6462  0.8699  0.2500  4 Pt 2.62-2.88, 4 Os 2.66-2.85, 1 Ti 2.88
Ti  0.8699  0.6462  0.7500  4 Pt 2.62-2.88, 4 Os 2.66-2.85, 1 Ti 2.88
Os  0.3775  0.6225  0.7500  8 Ti 2.66-2.85
Os  0.6225  0.3775  0.2500  8 Ti 2.66-2.85
Pt  0.1581  0.8419  0.2500  8 Ti 2.62-2.88
Pt  0.8419  0.1581  0.7500  8 Ti 2.62-2.88

***

Record 2
## Cu2As2Ir (GGA-PBE)

Data for Cu2As2Ir after structural relaxation.

Properties
D(E_F) = 1.53 states/eV/f.u.

Lattice parameters (Å, degrees): 6.2355 6.2355 4.3502 90.00 90.00 90.00
With the nearest neighbours (Å) after each atom.
Element x y z (fractional)
Cu  0.2477  0.2523  0.0000  2 As 2.39
Cu  0.2523  0.7523  0.0000  2 As 2.39
Cu  0.7477  0.2477  0.0000  2 As 2.39
Cu  0.7523  0.7477  0.0000  2 As 2.39
As  0.1363  0.3637  0.5000  2 Cu 2.39, 1 As 2.40, 2 Ir 2.42
As  0.3637  0.8637  0.5000  2 Cu 2.39, 1 As 2.40, 2 Ir 2.42
As  0.6363  0.1363  0.5000  2 Cu 2.39, 1 As 2.40, 2 Ir 2.42
As  0.8637  0.6363  0.5000  2 Cu 2.39, 1 As 2.40, 2 Ir 2.42
Ir  0.0000  0.0000  0.5000  4 As 2.42
Ir  0.5000  0.5000  0.5000  4 As 2.42

***

Calculated density for the records above, in order: 13.01 9.21 Mg/m³
Calculated formation energy for the records above, in order: -0.748 0.135 eV/atom